VASP calculation (PBE-GGA) on a geometry-optimized CrCoAg2 structure.

Calculated values
total energy = -5.29 eV/atom
space-group type = No. 99
DFT formation energy = 0.321 eV per atom

Cell lengths 2.7958, 2.7958, 8.0806 Å; angles 69.72, 90.00, 90.00 degrees
Site moments in Bohr magnetons follow the coordinates.
Fractional coordinates of all 4 atoms:
Ag 0.0000 0.0172 0.9828  0.04
Ag 0.5000 0.2244 0.2753  0.00
Co 0.0000 0.4646 0.5355  0.20
Cr 0.5000 0.7938 0.7064  1.91

=====

VASP calculation (PBE-GGA) on a geometry-optimized Co2OsRh structure.

Calculated values
total energy = -7.90 eV/atom
space-group type = No. 225
DFT formation energy = 0.303 eV per atom

Cell lengths 4.1442, 4.1442, 4.1442 Å; angles 60.00, 60.00, 60.00 degrees
Site moments in Bohr magnetons follow the coordinates.
Fractional coordinates of all 4 atoms:
Rh 0.0000 0.0000 0.0000  -0.01
Os 0.5000 0.5000 0.5000  0.25
Co 0.2500 0.2500 0.2500  1.24
Co 0.7500 0.7500 0.7500  1.24

=====

VASP calculation (PBE-GGA) on a geometry-optimized ThZrTe2 structure.

Calculated values
total energy = -6.46 eV/atom
formation energy from raw total energies = -0.900 eV per atom
space-group type = No. 225

Cell lengths 5.2678, 5.2678, 5.2678 Å; angles 60.00, 60.00, 60.00 degrees
Fractional coordinates of all 4 atoms:
Te 0.2500 0.2500 0.2500
Te 0.7500 0.7500 0.7500
Zr 0.0000 0.0000 0.0000
Th 0.5000 0.5000 0.5000

=====

VASP calculation (PBE-GGA) on a geometry-optimized Ac3ThIr3 structure.

Calculated values
total energy = -7.31 eV/atom
space-group type = No. 214
DFT formation energy = -0.692 eV per atom

Cell lengths 10.4299, 10.4299, 10.4299 Å; angles 109.47, 109.47, 109.47 degrees
Fractional coordinates of all 28 atoms:
Ac 0.2572 0.0072 0.0144
Ac 0.7500 0.7428 0.7572
Ac 0.5144 0.7572 0.0072
Ac 0.9928 0.2500 0.0072
Ac 0.2428 0.7572 0.2500
Ac 0.5072 0.4928 0.2500
Ac 0.2572 0.2500 0.7428
Ac 0.2428 0.4856 0.4928
Ac 0.7500 0.0072 0.4928
Ac 0.9856 0.4928 0.7428
Ac 0.9928 0.7428 0.4856
Ac 0.5072 0.0144 0.7572
Th 0.7500 0.5000 0.0000
Th 0.5000 0.2500 0.5000
Th 0.7500 0.2500 0.2500
Th 0.0000 0.0000 0.2500
Ir 0.9922 0.4961 0.2461
Ir 0.5039 0.0078 0.2539
Ir 0.2500 0.0039 0.4961
Ir 0.9961 0.7500 0.0039
Ir 0.9961 0.2461 0.4922
Ir 0.7539 0.0039 0.0078
Ir 0.7461 0.4922 0.4961
Ir 0.7539 0.7500 0.2461
Ir 0.5078 0.2539 0.0039
Ir 0.2500 0.2461 0.2539
Ir 0.7461 0.2539 0.7500
Ir 0.5039 0.4961 0.7500

=====

VASP calculation (PBE-GGA) on a geometry-optimized IrPtAu2 structure.

Calculated values
total energy = -5.02 eV/atom
space-group type = No. 139
DFT formation energy = 0.347 eV per atom

Cell lengths 4.9323, 4.9323, 4.9323 Å; angles 131.44, 131.44, 71.11 degrees
Site moments in Bohr magnetons follow the coordinates.
Fractional coordinates of all 4 atoms:
Au 0.0000 0.0000 0.0000  0.05
Au 0.5000 0.5000 0.0000  0.05
Ir 0.2500 0.7500 0.5000  0.40
Pt 0.7500 0.2500 0.5000  0.13

=====

VASP calculation (PBE-GGA) on a geometry-optimized LiSnS structure.

Calculated values
total energy = -3.92 eV/atom
formation energy from raw total energies = -0.573 eV per atom
space-group type = No. 13

Cell lengths 11.7218, 7.0101, 6.3889 Å; angles 90.00, 150.41, 90.00 degrees
Fractional coordinates of all 12 atoms:
S 0.5000 0.7500 0.0000
S 0.5000 0.2500 0.0000
S 0.0000 0.2500 0.5000
S 0.0000 0.7500 0.5000
Sn 0.2498 0.7510 0.2498
Sn 0.7502 0.2490 0.7502
Sn 0.2502 0.2510 0.2502
Sn 0.7498 0.7490 0.7498
Li 0.2500 0.5000 0.7500
Li 0.7500 0.5000 0.2500
Li 0.2500 0.0000 0.7500
Li 0.7500 0.0000 0.2500